# RbCoAs2Se (PBE, relaxed)
# Polymorph energy (0 for the lowest one)   0.0 kJ per mole of atoms
data_RbCoAs2Se
_cell_length_a 4.5834
_cell_length_b 4.5834
_cell_length_c 5.5969
_cell_angle_alpha 90.00
_cell_angle_beta 90.00
_cell_angle_gamma 90.00
_space_group_name_H-M_alt 'P 4/m m m'
_space_group_IT_number 123
_space_group_name_Hall '-P 4 2'
loop_
_atom_site_label
_atom_site_fract_x
_atom_site_fract_y
_atom_site_fract_z
_atom_site_occupancy
Rb1 0.0000 0.0000 0.0000 1
Co1 0.5000 0.5000 0.5000 1
As1 0.0000 0.5000 0.5000 1
Se1 0.5000 0.5000 0.0000 1

***

# RbCoAs2Se (PBE, relaxed)
# Polymorph energy (0 for the lowest one)   197.6 kJ per mole of atoms
data_RbCoAs2Se
_cell_length_a 5.5122
_cell_length_b 5.5122
_cell_length_c 5.6437
_cell_angle_alpha 90.00
_cell_angle_beta 90.00
_cell_angle_gamma 90.00
_space_group_name_H-M_alt 'P 4/m m m'
_space_group_IT_number 123
_space_group_name_Hall '-P 4 2'
loop_
_atom_site_label
_atom_site_fract_x
_atom_site_fract_y
_atom_site_fract_z
_atom_site_occupancy
Rb1 0.0000 0.0000 0.0000 1
Co1 0.5000 0.5000 0.5000 1
As1 0.0000 0.5000 0.0000 1
Se1 0.0000 0.0000 0.5000 1

***

# RbCoSiAs2 (PBE, relaxed)
# VASP energy   -3.8605 eV/atom
data_RbCoSiAs2
_cell_length_a 4.5970
_cell_length_b 4.5970
_cell_length_c 5.5870
_cell_angle_alpha 90.00
_cell_angle_beta 90.00
_cell_angle_gamma 90.00
_space_group_name_H-M_alt 'P 4/m m m'
_space_group_IT_number 123
_space_group_name_Hall '-P 4 2'
loop_
_atom_site_label
_atom_site_fract_x
_atom_site_fract_y
_atom_site_fract_z
_atom_site_occupancy
Rb1 0.0000 0.0000 0.0000 1
Co1 0.0000 0.0000 0.5000 1
Si1 0.5000 0.5000 0.0000 1
As1 0.0000 0.5000 0.5000 1

***

# Rb2ZrCoAs (PBE, relaxed)
# Energy of formation from the pure elements   5.84 eV per formula unit
data_Rb2ZrCoAs
_cell_length_a 6.9049
_cell_length_b 6.9049
_cell_length_c 4.3135
_cell_angle_alpha 90.00
_cell_angle_beta 90.00
_cell_angle_gamma 90.00
_space_group_name_H-M_alt 'P 4/m m m'
_space_group_IT_number 123
_space_group_name_Hall '-P 4 2'
loop_
_atom_site_label
_atom_site_fract_x
_atom_site_fract_y
_atom_site_fract_z
_atom_site_occupancy
Rb1 0.0000 0.5000 0.0000 1
Zr1 0.0000 0.0000 0.0000 1
Co1 0.0000 0.0000 0.5000 1
As1 0.5000 0.5000 0.5000 1

***

# Co2ReAs (PBE, relaxed)
# Energy of formation from the pure elements   -0.14 eV per formula unit
data_Co2ReAs
_cell_length_a 5.0016
_cell_length_b 3.8131
_cell_length_c 5.5495
_cell_angle_alpha 90.00
_cell_angle_beta 107.18
_cell_angle_gamma 90.00
_space_group_name_H-M_alt 'P 1 21/m 1'
_space_group_IT_number 11
loop_
_space_group_symop_operation_xyz
'x,y,z'
'-x,-y,-z'
'-x,y+1/2,-z'
'x,-y+1/2,z'
loop_
_atom_site_label
_atom_site_fract_x
_atom_site_fract_y
_atom_site_fract_z
_atom_site_occupancy
Co1 0.1166 0.2500 0.2414 1
Co2 0.3780 0.7500 0.1070 1
Re1 0.3606 0.7500 0.5613 1
As1 0.1526 0.2500 0.8209 1

***

# Co2ReAs (PBE, relaxed)
# Energy of formation from the pure elements   0.37 eV per formula unit
data_Co2ReAs
_cell_length_a 3.5924
_cell_length_b 2.7449
_cell_length_c 10.4425
_cell_angle_alpha 90.00
_cell_angle_beta 90.00
_cell_angle_gamma 90.00
_space_group_name_H-M_alt 'A m m 2'
_space_group_IT_number 38
loop_
_space_group_symop_operation_xyz
'x,y,z'
'-x,-y,z'
'-x,y,z'
'x,-y,z'
'x,y+1/2,z+1/2'
'-x,-y+1/2,z+1/2'
'-x,y+1/2,z+1/2'
'x,-y+1/2,z+1/2'
loop_
_atom_site_label
_atom_site_fract_x
_atom_site_fract_y
_atom_site_fract_z
_atom_site_occupancy
Co1 0.0000 0.0000 0.0000 1
Co2 0.5000 0.0000 0.3580 1
Re1 0.5000 0.0000 0.6078 1
As1 0.0000 0.0000 0.7799 1